## Ti3V2P6WO24 (GGA+U)

Data for crystalline Ti3V2P6WO24 at its relaxed geometry.

Calculated values
As for the total energy: -7.847 eV/atom.

a = 8.683 Å, b = 8.683 Å, c = 8.683 Å
α = 60.23°, β = 60.23°, γ = 60.23°
Fractional coordinates of all 36 atoms:
Ti (0.000, 0.000, 0.000)
Ti (0.208, 0.208, 0.208)
Ti (0.501, 0.501, 0.501)
V (0.353, 0.353, 0.353)
V (0.858, 0.858, 0.858)
P (0.112, 0.810, 0.393)
P (0.307, 0.604, 0.902)
P (0.393, 0.112, 0.810)
P (0.604, 0.902, 0.307)
P (0.810, 0.393, 0.112)
P (0.902, 0.307, 0.604)
W (0.714, 0.714, 0.714)
O (0.041, 0.853, 0.240)
O (0.096, 0.279, 0.443)
O (0.116, 0.769, 0.912)
O (0.186, 0.965, 0.339)
O (0.240, 0.041, 0.853)
O (0.271, 0.615, 0.409)
O (0.279, 0.443, 0.096)
O (0.339, 0.186, 0.965)
O (0.355, 0.545, 0.737)
O (0.409, 0.271, 0.615)
O (0.443, 0.096, 0.279)
O (0.461, 0.657, 0.878)
O (0.545, 0.737, 0.355)
O (0.588, 0.955, 0.805)
O (0.615, 0.409, 0.271)
O (0.657, 0.878, 0.461)
O (0.737, 0.355, 0.545)
O (0.769, 0.912, 0.116)
O (0.805, 0.588, 0.955)
O (0.853, 0.240, 0.041)
O (0.878, 0.461, 0.657)
O (0.912, 0.116, 0.769)
O (0.955, 0.805, 0.588)
O (0.965, 0.339, 0.186)